(1)
The following is a GGA-PBE calculation of a relaxed structure of Sr2NbPd2, from Alexandria.

Computed properties:
density of states at the Fermi level	0.68	states/eV/atom
size of the total moment	1.0	μB/f.u.
electronic total energy	-4.821	eV/atom

abc: 7.1153 7.1153 4.9475
angles: 90.00 90.00 90.00
Last column: nearest neighbours and their distance in Å.
Space group P4/mbm (No. 127)
Inequivalent atoms, fractional coordinates:
Sr (0.1732, 0.3268, 0.0000)  6 Pd 3.10-3.34
Nb (0.0000, 0.0000, 0.5000)  4 Pd 2.75
Pd (0.1405, 0.6405, 0.5000)  2 Nb 2.75, 1 Pd 2.83

(2)
The following is a GGA-PBE calculation of a relaxed structure of AcPmSc2, from Alexandria.

Computed properties:
density of states at the Fermi level	1.56	states/eV/atom
size of the total moment	0.0	μB/f.u.
ΔE to the lowest computed polymorph	14	meV/atom

abc: 7.9539 7.9539 7.9539
angles: 90.00 90.00 90.00
Last column: nearest neighbours and their distance in Å.
Space group Fm-3m (No. 225)
Inequivalent atoms, fractional coordinates:
Ac (0.0000, 0.0000, 0.0000)  8 Sc 3.44
Pm (0.0000, 0.0000, 0.5000)  8 Sc 3.44
Sc (0.2500, 0.2500, 0.2500)  4 Ac 3.44, 4 Pm 3.44

(3)
The following is a GGA-PBE calculation of a relaxed structure of GdLuMgPa, from Alexandria.

Computed properties:
density of states at the Fermi level	1.82	states/eV/atom
size of the total moment	9.9	μB/f.u.
electronic total energy	-7.088	eV/atom

abc: 7.6337 7.6337 7.6337
angles: 90.00 90.00 90.00
Last column: nearest neighbours and their distance in Å.
Space group F-43m (No. 216)
Inequivalent atoms, fractional coordinates:
Gd (0.0000, 0.0000, 0.0000)  4 Pa 3.31, 4 Mg 3.31
Lu (0.0000, 0.0000, 0.5000)  4 Mg 3.31, 4 Pa 3.31
Mg (0.2500, 0.2500, 0.7500)  4 Gd 3.31, 4 Lu 3.31
Pa (0.2500, 0.2500, 0.2500)  4 Gd 3.31, 4 Lu 3.31

(4)
The following is a GGA-PBE calculation of a relaxed structure of SrTa2Te, from Alexandria.

Computed properties:
density of states at the Fermi level	1.25	states/eV/atom
formation energy without anion corrections	78.3	kJ/mol of atoms
size of the total moment	0.0	μB/f.u.
ΔE to the lowest computed polymorph	684	meV/atom

abc: 3.9343 4.9953 9.7083
angles: 90.00 90.00 90.00
Last column: nearest neighbours and their distance in Å.
Space group Cmmm (No. 65)
Inequivalent atoms, fractional coordinates:
Sr (0.0000, 0.0000, 0.0000)  4 Sr 3.18, 4 Ta 3.44
Ta (0.0000, 0.5000, 0.2910)  2 Te 2.83
Te (0.0000, 0.0000, 0.5000)  4 Ta 2.83